BaTmZrN3 | PBE | relaxed

It has space group P2_1/m (No. 11), with a = 5.993 Å, b = 3.618 Å, c = 9.138 Å, α = 90.00°, β = 100.94° and γ = 90.00°. The asymmetric unit holds Ba at (0.148, 0.250, 0.193), Tm at (0.379, 0.250, 0.853), Zr at (0.254, 0.750, 0.533), N at (0.080, 0.250, 0.624), N at (0.287, 0.750, 0.968) and N at (0.455, 0.750, 0.363).

Ba4UN4 | PBE | relaxed

It has space group C2/m (No. 12), with a = 12.932 Å, b = 3.769 Å, c = 10.797 Å, α = 90.00°, β = 112.31° and γ = 90.00°. The asymmetric unit holds Ba at (0.077, 0.000, 0.326), Ba at (0.224, 0.500, 0.834), U at (0.000, 0.500, 0.000), N at (0.082, 0.000, 0.935) and N at (0.126, 0.500, 0.185).

The density of states at the Fermi level is 3.174 states/eV/f.u.

Ba4UN5 | PBE | relaxed

It has space group I4/m (No. 87), with a = 10.505 Å, b = 10.505 Å, c = 4.331 Å, α = 90.00°, β = 90.00° and γ = 90.00°. The asymmetric unit holds Ba at (0.094, 0.750, 0.000), U at (0.000, 0.000, 0.500), N at (0.000, 0.000, 0.000) and N at (0.085, 0.191, 0.500).

The density of states at the Fermi level is 9.313 states/eV/f.u.

BaUN | PBE | relaxed

It has space group Amm2 (No. 38), with a = 13.371 Å, b = 3.685 Å, c = 6.378 Å, α = 90.00°, β = 90.00° and γ = 90.00°. The asymmetric unit holds Ba at (0.121, 0.000, 0.000), U at (0.411, 0.000, 0.663), N at (0.000, 0.000, 0.334) and N at (0.500, 0.000, 0.329).

The density of states at the Fermi level is 3.743 states/eV/f.u.

Ba2UN4 | PBE | relaxed

It has space group Cmmm (No. 65), with a = 5.834 Å, b = 12.191 Å, c = 3.618 Å, α = 90.00°, β = 90.00° and γ = 90.00°. The asymmetric unit holds Ba at (0.000, 0.155, 0.000), U at (0.000, 0.500, 0.500), N at (0.000, 0.390, 0.000) and N at (0.117, 0.000, 0.500).

The density of states at the Fermi level is 0.597 states/eV/f.u.

Ba3U4N9 | PBE | relaxed

It has space group R-3m (No. 166, hexagonal axes), with a = 6.1686 Å, b = 6.1686 Å, c = 25.3671 Å, α = 90.00°, β = 90.00° and γ = 120.00°. The asymmetric unit holds Ba at (0.0000, 0.0000, 0.0000), Ba at (0.0000, 0.0000, 0.4228), U at (0.0000, 0.0000, 0.1560), U at (0.0000, 0.0000, 0.2834), N at (0.0000, 0.5000, 0.0000) and N at (0.0234, 0.5117, 0.4440).

The density of states at the Fermi level is 8.056 states/eV/f.u.

Ba5UN5 | PBE | relaxed

It has space group C2/m (No. 12), with a = 12.369 Å, b = 5.489 Å, c = 8.013 Å, α = 90.00°, β = 105.04° and γ = 90.00°. The asymmetric unit holds Ba at (0.000, 0.000, 0.000), Ba at (0.161, 0.500, 0.779), Ba at (0.174, 0.500, 0.333), U at (0.000, 0.000, 0.500), N at (0.000, 0.500, 0.500), N at (0.112, 0.000, 0.742) and N at (0.141, 0.000, 0.376).

The density of states at the Fermi level is 1.511 states/eV/f.u.

Ba5UN6 | PBE | relaxed

It has space group C2/m (No. 12), with a = 6.848 Å, b = 11.784 Å, c = 6.772 Å, α = 90.00°, β = 110.36° and γ = 90.00°. The asymmetric unit holds Ba at (0.000, 0.000, 0.000), Ba at (0.000, 0.165, 0.500), Ba at (0.000, 0.344, 0.000), U at (0.000, 0.500, 0.500), N at (0.195, 0.374, 0.699) and N at (0.210, 0.500, 0.276).

The density of states at the Fermi level is 9.735 states/eV/f.u.

no.,formation energy without anion corrections (eV/atom),electronic total energy (eV per atom)
1,-1.2072,-7.860
2,-0.8192,-6.628
3,-0.7402,-6.801
4,0.0453,-7.133
5,-0.9011,-7.820
6,-1.2167,-9.082
7,-0.6872,-6.372
8,-0.6123,-6.517